# LaZrAs2

A geometry-optimized LaZrAs2 structure (PBE, the Alexandria database).

```
data_LaZrAs2
_chemical_formula_sum 'La3 Zr3 As6'
_symmetry_space_group_name_H-M 'R 3 m'
_symmetry_Int_Tables_number 160
_symmetry_space_group_name_Hall 'R 3 -2"'
_cell_length_a 3.5615
_cell_length_b 3.5615
_cell_length_c 26.8145
_cell_angle_alpha 90.00
_cell_angle_beta 90.00
_cell_angle_gamma 120.00
loop_
_atom_site_label
_atom_site_type_symbol
_atom_site_fract_x
_atom_site_fract_y
_atom_site_fract_z
La1 La 0.0000 0.0000 0.0000
Zr1 Zr 0.0000 0.0000 0.2291
As1 As 0.0000 0.0000 0.4922
As2 As 0.0000 0.0000 0.7576
```

Values from the calculation:
Its energy is -68.81 eV for the cell shown. The relative energy among the computed polymorphs comes out at 1299 meV/atom. The calculation puts the total magnetic moment at 0.7 μB per formula unit. As for the formation energy from the elements: -0.2 eV/f.u.

# ReW

A geometry-optimized ReW structure (PBE, the Alexandria database).

```
data_ReW
_chemical_formula_sum 'Re1 W1'
_symmetry_space_group_name_H-M 'P m -3 m'
_symmetry_Int_Tables_number 221
_symmetry_space_group_name_Hall '-P 4 2 3'
_cell_length_a 3.148
_cell_length_b 3.148
_cell_length_c 3.148
_cell_angle_alpha 90.00
_cell_angle_beta 90.00
_cell_angle_gamma 90.00
loop_
_atom_site_label
_atom_site_type_symbol
_atom_site_fract_x
_atom_site_fract_y
_atom_site_fract_z
Re1 Re 0.000 0.000 0.000
W1 W 0.500 0.500 0.500
```

Values from the calculation:
Its energy is -25.20 eV for the cell shown. The relative energy among the computed polymorphs comes out at 8 meV/atom. The calculation puts the total magnetic moment at 0.0 μB per formula unit. As for the formation energy from the elements: 0.2 eV/f.u.

# U8As3Se5

A geometry-optimized U8As3Se5 structure (PBE, the Alexandria database).

```
data_U8As3Se5
_chemical_formula_sum 'U24 As9 Se15'
_symmetry_space_group_name_H-M 'R -3 m'
_symmetry_Int_Tables_number 166
_symmetry_space_group_name_Hall '-R 3 2"'
_cell_length_a 7.9088
_cell_length_b 7.9088
_cell_length_c 21.0967
_cell_angle_alpha 90.00
_cell_angle_beta 90.00
_cell_angle_gamma 120.00
loop_
_atom_site_label
_atom_site_type_symbol
_atom_site_fract_x
_atom_site_fract_y
_atom_site_fract_z
U1 U 0.0000 0.0000 0.2493
U2 U 0.0007 0.5004 0.7505
As1 As 0.0000 0.5000 0.5000
Se1 Se 0.0000 0.0000 0.0000
Se2 Se 0.0000 0.0000 0.5000
Se3 Se 0.0000 0.5000 0.0000
```

Values from the calculation:
Its energy is -408.51 eV for the cell shown. The calculation puts the total magnetic moment at 20.5 μB per formula unit.

# TaNbV

A geometry-optimized TaNbV structure (PBE, the Alexandria database).

```
data_TaNbV
_chemical_formula_sum 'Ta4 Nb4 V4'
_symmetry_space_group_name_H-M 'F m m 2'
_symmetry_Int_Tables_number 42
_symmetry_space_group_name_Hall 'F 2 -2'
_cell_length_a 3.260
_cell_length_b 4.657
_cell_length_c 13.305
_cell_angle_alpha 90.00
_cell_angle_beta 90.00
_cell_angle_gamma 90.00
loop_
_atom_site_label
_atom_site_type_symbol
_atom_site_fract_x
_atom_site_fract_y
_atom_site_fract_z
Ta1 Ta 0.000 0.000 0.000
Nb1 Nb 0.000 0.000 0.682
V1 V 0.000 0.000 0.340
```

Values from the calculation:
Its energy is -123.66 eV for the cell shown. The relative energy among the computed polymorphs comes out at 16 meV/atom. The calculation puts the total magnetic moment at 0.0 μB per formula unit. As for the formation energy from the elements: 0.1 eV/f.u.

# EuTmPtRh

A geometry-optimized EuTmPtRh structure (PBE, the Alexandria database).

```
data_EuTmPtRh
_chemical_formula_sum 'Eu4 Tm4 Pt4 Rh4'
_symmetry_space_group_name_H-M 'F -4 3 m'
_symmetry_Int_Tables_number 216
_symmetry_space_group_name_Hall 'F -4 2 3'
_cell_length_a 6.953
_cell_length_b 6.953
_cell_length_c 6.953
_cell_angle_alpha 90.00
_cell_angle_beta 90.00
_cell_angle_gamma 90.00
loop_
_atom_site_label
_atom_site_type_symbol
_atom_site_fract_x
_atom_site_fract_y
_atom_site_fract_z
Eu1 Eu 0.000 0.000 0.000
Tm1 Tm 0.000 0.000 0.500
Pt1 Pt 0.250 0.250 0.250
Rh1 Rh 0.250 0.250 0.750
```

Values from the calculation:
Its energy is -125.78 eV for the cell shown. The calculation puts the total magnetic moment at 6.7 μB per formula unit. As for the formation energy from the elements: -3.3 eV/f.u.

# TbYTh2P4

A geometry-optimized TbYTh2P4 structure (PBE, the Alexandria database).

```
data_TbYTh2P4
_chemical_formula_sum 'Tb1 Y1 Th2 P4'
_symmetry_space_group_name_H-M 'P 1 2/m 1'
_symmetry_Int_Tables_number 10
_cell_length_a 7.039
_cell_length_b 4.095
_cell_length_c 7.095
_cell_angle_alpha 90.00
_cell_angle_beta 109.69
_cell_angle_gamma 90.00
loop_
_symmetry_equiv_pos_as_xyz
'x,y,z'
'-x,-y,-z'
'-x,y,-z'
'x,-y,z'
loop_
_atom_site_label
_atom_site_type_symbol
_atom_site_fract_x
_atom_site_fract_y
_atom_site_fract_z
Tb1 Tb 0.000 0.000 0.000
Y1 Y 0.000 0.500 0.500
Th1 Th 0.500 0.000 0.500
Th2 Th 0.500 0.500 0.000
P1 P 0.244 0.000 0.748
P2 P 0.244 0.500 0.248
```

Values from the calculation:
Its energy is -60.30 eV for the cell shown. The calculation puts the total magnetic moment at 0.0 μB per formula unit. As for the formation energy from the elements: -12.7 eV/f.u.

# MgSi2Bi

A geometry-optimized MgSi2Bi structure (PBE, the Alexandria database).

```
data_MgSi2Bi
_chemical_formula_sum 'Mg4 Si8 Bi4'
_symmetry_space_group_name_H-M 'F m -3 m'
_symmetry_Int_Tables_number 225
_symmetry_space_group_name_Hall '-F 4 2 3'
_cell_length_a 7.040
_cell_length_b 7.040
_cell_length_c 7.040
_cell_angle_alpha 90.00
_cell_angle_beta 90.00
_cell_angle_gamma 90.00
loop_
_atom_site_label
_atom_site_type_symbol
_atom_site_fract_x
_atom_site_fract_y
_atom_site_fract_z
Mg1 Mg 0.000 0.000 0.000
Si1 Si 0.250 0.250 0.250
Bi1 Bi 0.000 0.000 0.500
```

Values from the calculation:
Its energy is -57.99 eV for the cell shown. The relative energy among the computed polymorphs comes out at 0 meV/atom. The calculation puts the total magnetic moment at 0.0 μB per formula unit.

# PaCoAsN

A geometry-optimized PaCoAsN structure (PBE, the Alexandria database).

```
data_PaCoAsN
_chemical_formula_sum 'Pa2 Co2 As2 N2'
_symmetry_space_group_name_H-M 'P 4/n m m'
_symmetry_Int_Tables_number 129
_cell_length_a 3.916
_cell_length_b 3.916
_cell_length_c 7.934
_cell_angle_alpha 90.00
_cell_angle_beta 90.00
_cell_angle_gamma 90.00
loop_
_symmetry_equiv_pos_as_xyz
'x,y,z'
'-x,-y,-z'
'-y+1/2,x,z'
'y+1/2,-x,-z'
'-x+1/2,-y+1/2,z'
'x+1/2,y+1/2,-z'
'y,-x+1/2,z'
'-y,x+1/2,-z'
'x+1/2,-y,-z'
'-x+1/2,y,z'
'-y,-x,-z'
'y,x,z'
'-x,y+1/2,-z'
'x,-y+1/2,z'
'y+1/2,x+1/2,-z'
'-y+1/2,-x+1/2,z'
loop_
_atom_site_label
_atom_site_type_symbol
_atom_site_fract_x
_atom_site_fract_y
_atom_site_fract_z
Pa1 Pa 0.250 0.250 0.150
Co1 Co 0.250 0.750 0.500
As1 As 0.250 0.250 0.659
N1 N 0.250 0.750 0.000
```

Values from the calculation:
Its energy is -68.55 eV for the cell shown. The calculation puts the total magnetic moment at 0.4 μB per formula unit.

# Y4Al12Os

A geometry-optimized Y4Al12Os structure (PBE, the Alexandria database).

```
data_Y4Al12Os
_chemical_formula_sum 'Y8 Al24 Os2'
_symmetry_space_group_name_H-M 'I m -3 m'
_symmetry_Int_Tables_number 229
_symmetry_space_group_name_Hall '-I 4 2 3'
_cell_length_a 8.658
_cell_length_b 8.658
_cell_length_c 8.658
_cell_angle_alpha 90.00
_cell_angle_beta 90.00
_cell_angle_gamma 90.00
loop_
_atom_site_label
_atom_site_type_symbol
_atom_site_fract_x
_atom_site_fract_y
_atom_site_fract_z
Y1 Y 0.250 0.250 0.250
Al1 Al 0.000 0.000 0.287
Al2 Al 0.000 0.250 0.500
Os1 Os 0.000 0.000 0.000
```

Values from the calculation:
Its energy is -180.07 eV for the cell shown. The calculation puts the total magnetic moment at 0.0 μB per formula unit. As for the formation energy from the elements: -8.0 eV/f.u.

# BiP

A geometry-optimized BiP structure (PBE, the Alexandria database).

```
data_BiP
_chemical_formula_sum 'Bi8 P8'
_symmetry_space_group_name_H-M 'P 4/m'
_symmetry_Int_Tables_number 83
_cell_length_a 12.216
_cell_length_b 12.216
_cell_length_c 4.985
_cell_angle_alpha 90.00
_cell_angle_beta 90.00
_cell_angle_gamma 90.00
loop_
_symmetry_equiv_pos_as_xyz
'x,y,z'
'-x,-y,-z'
'-y,x,z'
'y,-x,-z'
'-x,-y,z'
'x,y,-z'
'y,-x,z'
'-y,x,-z'
loop_
_atom_site_label
_atom_site_type_symbol
_atom_site_fract_x
_atom_site_fract_y
_atom_site_fract_z
Bi1 Bi 0.099 0.275 0.000
Bi2 Bi 0.111 0.614 0.500
P1 P 0.115 0.382 0.500
P2 P 0.126 0.722 0.000
```

Values from the calculation:
Its energy is -68.22 eV for the cell shown. The relative energy among the computed polymorphs comes out at 314 meV/atom. The calculation puts the total magnetic moment at 0.0 μB per formula unit. As for the formation energy from the elements: 0.8 eV/f.u.

# SrSm2ErS4

A geometry-optimized SrSm2ErS4 structure (PBE, the Alexandria database).

```
data_SrSm2ErS4
_chemical_formula_sum 'Sr1 Sm2 Er1 S4'
_symmetry_space_group_name_H-M 'P 1 2/m 1'
_symmetry_Int_Tables_number 10
_cell_length_a 6.977
_cell_length_b 4.002
_cell_length_c 6.999
_cell_angle_alpha 90.00
_cell_angle_beta 109.03
_cell_angle_gamma 90.00
loop_
_symmetry_equiv_pos_as_xyz
'x,y,z'
'-x,-y,-z'
'-x,y,-z'
'x,-y,z'
loop_
_atom_site_label
_atom_site_type_symbol
_atom_site_fract_x
_atom_site_fract_y
_atom_site_fract_z
Sr1 Sr 0.000 0.000 0.000
Sm1 Sm 0.000 0.500 0.500
Sm2 Sm 0.500 0.000 0.500
Er1 Er 0.500 0.500 0.000
S1 S 0.262 0.000 0.757
S2 S 0.262 0.500 0.252
```

Values from the calculation:
Its energy is -48.15 eV for the cell shown. The calculation puts the total magnetic moment at 0.0 μB per formula unit.

# K2BiAu

A geometry-optimized K2BiAu structure (PBE, the Alexandria database).

```
data_K2BiAu
_chemical_formula_sum 'K8 Bi4 Au4'
_symmetry_space_group_name_H-M 'I -4 2 d'
_symmetry_Int_Tables_number 122
_symmetry_space_group_name_Hall 'I -4 2bw'
_cell_length_a 12.166
_cell_length_b 12.166
_cell_length_c 5.496
_cell_angle_alpha 90.00
_cell_angle_beta 90.00
_cell_angle_gamma 90.00
loop_
_atom_site_label
_atom_site_type_symbol
_atom_site_fract_x
_atom_site_fract_y
_atom_site_fract_z
K1 K 0.083 0.750 0.125
Bi1 Bi 0.000 0.000 0.500
Au1 Au 0.000 0.000 0.000
```

Values from the calculation:
Its energy is -40.70 eV for the cell shown. The calculation puts the total magnetic moment at 0.0 μB per formula unit. As for the formation energy from the elements: -0.8 eV/f.u.